Density functional theory data (GGA+U) for NpMnSbO6 after structural relaxation.

The space group is P-31c (No. 163) and the conventional cell measures 5.5009, 5.5009 and 9.2692 Å, with angles of 90.00, 90.00 and 120.00 degrees. The asymmetric unit holds Np at (0.3333, 0.6667, 0.2500), Mn at (0.0000, 0.0000, 0.0000), Sb at (0.3333, 0.6667, 0.7500) and O at (0.0168, 0.3565, 0.6330).

For the final energy, the calculation gives -7.99 eV per atom. The calculation puts the density of states at the Fermi level at 10.24 states/eV/cell. The calculation puts the calculated density at 6.97 g/cm3.